[1]
Computed, not measured: crystalline MgCrBr2 at its relaxed geometry at the PBE level of DFT.

a = 3.7296 Å, b = 4.5720 Å, c = 14.4690 Å
α = 90.00°, β = 90.00°, γ = 90.00°
With the nearest neighbours (Å) after each atom.
Space group Immm (No. 71)
One atom of each set of equivalent atoms:
Mg (0.0000, 0.0000, 0.0000) x2  4 Br 2.95, 4 Cr 2.95
Cr (0.0000, 0.0000, 0.5000) x2  4 Br 2.63, 4 Mg 2.95
Br (0.0000, 0.5000, 0.1286) x4  2 Cr 2.63, 2 Mg 2.95

Calculated values
E above lowest polymorph = 97 meV/atom
Energy = -3.9652 eV/atom
Magnetization = 1.000 μB per atom
D(E_F) = 0.724 states/eV/atom
V = 123 Å³/f.u.
Formation energy (no corrections) = -0.324 eV per atom



[2]
Computed, not measured: crystalline PrGdMg at its relaxed geometry at the PBE level of DFT.

a = 3.7773 Å, b = 3.7773 Å, c = 13.0010 Å
α = 90.00°, β = 90.00°, γ = 90.00°
With the nearest neighbours (Å) after each atom.
Space group I4mm (No. 107)
One atom of each set of equivalent atoms:
Pr (0.0000, 0.0000, 0.0000) x2  4 Mg 3.40, 4 Gd 3.60, 4 Pr 3.78
Gd (0.0000, 0.0000, 0.6851) x2  4 Mg 3.33, 4 Pr 3.60
Mg (0.0000, 0.0000, 0.3381) x2  4 Gd 3.33, 4 Pr 3.40

Calculated values
E above lowest polymorph = 0 meV/atom
Energy = -6.8824 eV/atom
Magnetization = 2.530 μB per atom
D(E_F) = 0.857 states/eV/atom
DFT formation energy = -0.19 eV/f.u.
V = 93 Å³/f.u.



[3]
Computed, not measured: crystalline MgFeOs4 at its relaxed geometry at the PBE level of DFT.

a = 7.2814 Å, b = 7.2814 Å, c = 7.2814 Å
α = 90.00°, β = 90.00°, γ = 90.00°
With the nearest neighbours (Å) after each atom.
Space group F-43m (No. 216)
One atom of each set of equivalent atoms:
Mg (0.0000, 0.0000, 0.0000) x4  12 Os 3.02, 4 Fe 3.15
Fe (0.2500, 0.2500, 0.2500) x4  12 Os 3.02, 4 Mg 3.15
Os (0.1249, 0.1249, 0.6249) x16  6 Os 2.57-2.58

Calculated values
Energy = -8.6244 eV/atom
Magnetization = 0.529 μB per atom
D(E_F) = 1.186 states/eV/atom
DFT formation energy = 3.23 eV/f.u.
V = 97 Å³/f.u.



[4]
Computed, not measured: crystalline Co2AgSe at its relaxed geometry at the PBE level of DFT.

a = 3.0707 Å, b = 4.5835 Å, c = 8.3790 Å
α = 90.00°, β = 90.00°, γ = 90.00°
With the nearest neighbours (Å) after each atom.
Space group Immm (No. 71)
One atom of each set of equivalent atoms:
Co (0.0000, 0.0000, 0.2181) x4  2 Se 2.39
Ag (0.0000, 0.5000, 0.0000) x2  4 Se 2.76, 8 Co 2.82-2.93, 2 Ag 3.07
Se (0.0000, 0.5000, 0.5000) x2  4 Co 2.39

Calculated values
Energy = -4.6866 eV/atom
Magnetization = 0.706 μB per atom
D(E_F) = 1.119 states/eV/atom
V = 59 Å³/f.u.
Formation energy (no corrections) = 0.450 eV per atom